# 1
## NaTe2Pb (GGA-PBE)

Data for a relaxed NaTe2Pb crystal.

Computed properties:
- ΔE_f (raw): -0.379 eV/atom

abc: 7.0965 7.0965 8.6808
angles: 65.87 65.87 90.00
With the nearest neighbours (Å) after each atom.
Fractional coordinates of all 8 atoms:
Te  0.8750  0.8894  0.7500  2 Pb 3.01, 2 Na 3.13
Te  0.1106  0.6250  0.2500  2 Pb 3.01, 2 Na 3.13
Te  0.6394  0.1250  0.2500  2 Pb 3.01, 2 Na 3.13
Te  0.3750  0.3606  0.7500  2 Pb 3.01, 2 Na 3.13
Pb  0.0000  0.0000  0.0000  4 Te 3.01
Pb  0.7500  0.2500  0.5000  4 Te 3.01
Na  0.2500  0.7500  0.5000  4 Te 3.13
Na  0.5000  0.5000  0.0000  4 Te 3.13

=====

# 2
## NaTe2Pb (GGA-PBE)

Data for a relaxed NaTe2Pb crystal.

Computed properties:
- ΔE_f (raw): -0.440 eV/atom

abc: 4.4448 4.4448 8.2474
angles: 74.37 74.37 60.00
With the nearest neighbours (Å) after each atom.
Fractional coordinates of all 4 atoms:
Te  0.2516  0.2516  0.2451  3 Pb 3.21, 3 Na 3.26
Te  0.0821  0.0821  0.7536  3 Pb 3.21, 3 Na 3.23
Pb  0.6670  0.6670  0.9989  6 Te 3.21
Na  0.4992  0.4992  0.5024  6 Te 3.23-3.26

=====

# 3
## Na2Te2Pb (GGA-PBE)

Data for a relaxed Na2Te2Pb crystal.

Computed properties:
- ΔE_f (raw): -0.570 eV/atom
- Distance to the lowest polymorph of the same formula: 69 meV/atom

abc: 9.0777 9.0777 3.6340
angles: 90.00 90.00 90.00
With the nearest neighbours (Å) after each atom.
Fractional coordinates of all 10 atoms:
Na  0.1282  0.6282  0.5000  6 Te 3.15-3.30, 1 Na 3.29
Na  0.8718  0.3718  0.5000  6 Te 3.15-3.30, 1 Na 3.29
Na  0.3718  0.1282  0.5000  6 Te 3.15-3.30, 1 Na 3.29
Na  0.6282  0.8718  0.5000  6 Te 3.15-3.30, 1 Na 3.29
Te  0.6718  0.1718  0.0000  6 Na 3.15-3.30, 2 Pb 3.36
Te  0.8282  0.6718  0.0000  6 Na 3.15-3.30, 2 Pb 3.36
Te  0.1718  0.3282  0.0000  6 Na 3.15-3.30, 2 Pb 3.36
Te  0.3282  0.8282  0.0000  6 Na 3.15-3.30, 2 Pb 3.36
Pb  0.0000  0.0000  0.0000  4 Te 3.36, 2 Pb 3.63
Pb  0.5000  0.5000  0.0000  4 Te 3.36, 2 Pb 3.63

=====

# 4
## Na2TePb2 (GGA-PBE)

Data for a relaxed Na2TePb2 crystal.

Computed properties:
- ΔE_f (raw): -0.155 eV/atom
- Distance to the lowest polymorph of the same formula: 0 meV/atom

abc: 8.2769 8.2769 4.6874
angles: 90.00 90.00 90.00
With the nearest neighbours (Å) after each atom.
Fractional coordinates of all 10 atoms:
Pb  0.6332  0.1332  0.0000  1 Pb 3.12, 2 Te 3.23, 6 Na 3.29-3.45
Pb  0.1332  0.3668  0.0000  1 Pb 3.12, 2 Te 3.23, 6 Na 3.29-3.45
Pb  0.3668  0.8668  0.0000  1 Pb 3.12, 2 Te 3.23, 6 Na 3.29-3.45
Pb  0.8668  0.6332  0.0000  1 Pb 3.12, 2 Te 3.23, 6 Na 3.29-3.45
Na  0.1702  0.6702  0.5000  6 Pb 3.29-3.45
Na  0.8298  0.3298  0.5000  6 Pb 3.29-3.45
Na  0.6702  0.8298  0.5000  6 Pb 3.29-3.45
Na  0.3298  0.1702  0.5000  6 Pb 3.29-3.45
Te  0.0000  0.0000  0.0000  4 Pb 3.23
Te  0.5000  0.5000  0.0000  4 Pb 3.23

=====

# 5
## NaTe2Pb (GGA-PBE)

Data for a relaxed NaTe2Pb crystal.

Computed properties:
- ΔE_f (raw): -0.368 eV/atom

abc: 3.8592 3.8592 8.3054
angles: 90.00 90.00 90.00
With the nearest neighbours (Å) after each atom.
Fractional coordinates of all 4 atoms:
Na  0.5000  0.5000  0.5000  8 Te 3.45, 4 Na 3.86
Te  0.0000  0.0000  0.2465  4 Pb 3.41, 4 Na 3.45
Te  0.0000  0.0000  0.7535  4 Pb 3.41, 4 Na 3.45
Pb  0.5000  0.5000  0.0000  8 Te 3.41

=====

# 6
## Na2TePb2 (GGA-PBE)

Data for a relaxed Na2TePb2 crystal.

Computed properties:
- ΔE_f (raw): -0.136 eV/atom
- Distance to the lowest polymorph of the same formula: 19 meV/atom

abc: 7.7633 7.7633 5.1220
angles: 90.00 90.00 90.00
With the nearest neighbours (Å) after each atom.
Fractional coordinates of all 10 atoms:
Te  0.5000  0.5000  0.0000  4 Na 2.96
Te  0.0000  0.0000  0.0000  4 Na 2.96
Pb  0.3497  0.1503  0.5000  1 Pb 3.30, 6 Na 3.39-3.45
Pb  0.6503  0.8497  0.5000  1 Pb 3.30, 6 Na 3.39-3.45
Pb  0.1503  0.6503  0.5000  1 Pb 3.30, 6 Na 3.39-3.45
Pb  0.8497  0.3497  0.5000  1 Pb 3.30, 6 Na 3.39-3.45
Na  0.1479  0.3521  0.0000  2 Te 2.96, 1 Na 3.25
Na  0.8521  0.6479  0.0000  2 Te 2.96, 1 Na 3.25
Na  0.3521  0.8521  0.0000  2 Te 2.96, 1 Na 3.25
Na  0.6479  0.1479  0.0000  2 Te 2.96, 1 Na 3.25

=====

# 7
## Na3TePb (GGA-PBE)

Data for a relaxed Na3TePb crystal.

Computed properties:
- ΔE_f (raw): 0.133 eV/atom
- Distance to the lowest polymorph of the same formula: 325 meV/atom

abc: 5.8719 5.8719 5.8719
angles: 90.00 90.00 90.00
With the nearest neighbours (Å) after each atom.
Fractional coordinates of all 5 atoms:
Pb  0.0000  0.0000  0.0000  6 Na 2.94
Na  0.0000  0.0000  0.5000  2 Pb 2.94
Na  0.0000  0.5000  0.0000  2 Pb 2.94
Na  0.5000  0.0000  0.0000  2 Pb 2.94
Te  0.5000  0.5000  0.5000  12 Na 4.15

=====

# 8
## Na14Te9Pb2 (GGA-PBE)

Data for a relaxed Na14Te9Pb2 crystal.

Computed properties:
- ΔE_f (raw): -0.810 eV/atom

abc: 9.1160 9.1160 12.6695
angles: 90.00 90.00 120.00
With the nearest neighbours (Å) after each atom.
Fractional coordinates of all 25 atoms:
Na  0.0313  0.3603  0.5903  4 Te 3.11-3.24
Na  0.3256  0.3433  0.9106  4 Te 3.16-3.32
Na  0.9823  0.3256  0.0894  4 Te 3.16-3.32
Na  0.3603  0.3290  0.4097  4 Te 3.11-3.24
Na  0.3433  0.0177  0.0894  4 Te 3.16-3.32
Na  0.6567  0.9823  0.9106  4 Te 3.16-3.32
Na  0.6710  0.0313  0.4097  4 Te 3.11-3.24
Na  0.3290  0.9687  0.5903  4 Te 3.11-3.24
Na  0.6744  0.6567  0.0894  4 Te 3.16-3.32
Na  0.0000  0.0000  0.7489  4 Te 3.14-3.18
Na  0.0000  0.0000  0.2511  4 Te 3.14-3.18
Na  0.6397  0.6710  0.5903  4 Te 3.11-3.24
Na  0.0177  0.6744  0.9106  4 Te 3.16-3.32
Na  0.9687  0.6397  0.4097  4 Te 3.11-3.24
Te  0.3116  0.9802  0.3396  6 Na 3.11-3.24, 1 Pb 3.15
Te  0.6686  0.6884  0.3396  6 Na 3.11-3.24, 1 Pb 3.15
Te  0.0198  0.3314  0.3396  6 Na 3.11-3.24, 1 Pb 3.15
Te  0.9802  0.6686  0.6604  6 Na 3.11-3.24, 1 Pb 3.15
Te  0.0000  0.0000  0.0000  8 Na 3.18-3.26
Te  0.3314  0.3116  0.6604  6 Na 3.11-3.24, 1 Pb 3.15
Te  0.6884  0.0198  0.6604  6 Na 3.11-3.24, 1 Pb 3.15
Te  0.6667  0.3333  0.9925  1 Pb 3.14, 6 Na 3.16-3.32
Te  0.3333  0.6667  0.0075  1 Pb 3.14, 6 Na 3.16-3.32
Pb  0.3333  0.6667  0.2557  4 Te 3.14-3.15
Pb  0.6667  0.3333  0.7443  4 Te 3.14-3.15